## K2HgPdF6 (GGA-PBE)

Data for a relaxed structure of K2HgPdF6.

The structure in CIF format:
```
data_K2HgPdF6
_chemical_formula_sum 'K4 Hg2 Pd2 F12'
_space_group_name_H-M_alt 'I 4/m'
_space_group_IT_number 87
_space_group_name_Hall '-I 4'
_cell_length_a 5.892
_cell_length_b 5.892
_cell_length_c 9.094
_cell_angle_alpha 90.00
_cell_angle_beta 90.00
_cell_angle_gamma 90.00
loop_
_atom_site_label
_atom_site_type_symbol
_atom_site_fract_x
_atom_site_fract_y
_atom_site_fract_z
K1 K 0.000 0.500 0.250
Hg1 Hg 0.000 0.000 0.000
Pd1 Pd 0.000 0.000 0.500
F1 F 0.000 0.000 0.233
F2 F 0.136 0.310 0.500
```

Properties
The volume is 315.7 Å³/cell. The calculation puts the calculated total energy at -75.52 eV/cell.

***

## Zr2TaTl (GGA-PBE)

Data for a relaxed structure of Zr2TaTl.

The structure in CIF format:
```
data_Zr2TaTl
_chemical_formula_sum 'Zr8 Ta4 Tl4'
_space_group_name_H-M_alt 'F -4 3 m'
_space_group_IT_number 216
_space_group_name_Hall 'F -4 2 3'
_cell_length_a 6.967
_cell_length_b 6.967
_cell_length_c 6.967
_cell_angle_alpha 90.00
_cell_angle_beta 90.00
_cell_angle_gamma 90.00
loop_
_atom_site_label
_atom_site_type_symbol
_atom_site_fract_x
_atom_site_fract_y
_atom_site_fract_z
Zr1 Zr 0.000 0.000 0.000
Zr2 Zr 0.250 0.250 0.250
Ta1 Ta 0.250 0.250 0.750
Tl1 Tl 0.000 0.000 0.500
```

Properties
The volume is 338.2 Å³/cell. The calculation puts the calculated total energy at -120.97 eV/cell.

***

- Which formula does entry 1 have?
  K2HgPdF6